The following is a DFT calculation (PBE) of crystalline BaPIrO at its relaxed geometry.

Results
SG   Pmc2_1
ΔE to the lowest computed polymorph   106 kJ/mol of formula units
Electronic total energy   -6.304 eV/atom

a b c (Å): 3.5082 8.0652 6.0798
angles (deg): 90.00 90.00 90.00
Element x y z (fractional)
1 Ba 0.0000 0.1584 0.0000
2 Ba 0.0000 0.8416 0.5000
3 P 0.0000 0.4211 0.5388
4 P 0.0000 0.5789 0.0388
5 Ir 0.5000 0.2582 0.4967
6 Ir 0.5000 0.7418 0.9967
7 O 0.5000 0.0545 0.3125
8 O 0.5000 0.9455 0.8125


The following is a DFT calculation (PBE) of crystalline UTlCl6 at its relaxed geometry.

Results
SG   C2/m
Electronic total energy   -4.609 eV/atom

a b c (Å): 6.4548 6.4548 6.9548
angles (deg): 105.72 105.72 87.83
Element x y z (fractional)
1 U 0.0000 0.0000 0.0000
2 Tl 0.5000 0.5000 0.5000
3 Cl 0.1153 0.7198 0.7185
4 Cl 0.2728 0.2728 0.0032
5 Cl 0.2802 0.8847 0.2815
6 Cl 0.7198 0.1153 0.7185
7 Cl 0.7272 0.7272 0.9968
8 Cl 0.8847 0.2802 0.2815


The following is a DFT calculation (PBE) of crystalline NdDyAl2I2 at its relaxed geometry.

Results
SG   P3m1
Electronic total energy   -4.237 eV/atom

a b c (Å): 4.3245 4.3245 12.3573
angles (deg): 90.00 90.00 120.00
Element x y z (fractional)
1 Nd 0.0000 0.0000 0.0000
2 Dy 0.0000 0.0000 0.3383
3 Al 0.3333 0.6667 0.1889
4 Al 0.6667 0.3333 0.1584
5 I 0.3333 0.6667 0.8338
6 I 0.6667 0.3333 0.4951


The following is a DFT calculation (PBE) of crystalline RbNbRe at its relaxed geometry.

Results
SG   F-43m
ΔE to the lowest computed polymorph   0 kJ/mol of formula units
Electronic total energy   -5.812 eV/atom

a b c (Å): 4.6655 4.6655 4.6655
angles (deg): 60.00 60.00 60.00
Element x y z (fractional)
1 Rb 0.0000 0.0000 0.0000
2 Nb 0.5000 0.5000 0.5000
3 Re 0.7500 0.7500 0.7500


The following is a DFT calculation (PBE) of crystalline DyHoCo2B2As2 at its relaxed geometry.

Results
SG   P4mm
Electronic total energy   -6.401 eV/atom

a b c (Å): 3.7962 3.7962 8.5237
angles (deg): 90.00 90.00 90.00
Element x y z (fractional)
1 Dy 0.0000 0.0000 0.0000
2 Ho 0.5000 0.5000 0.4666
3 Co 0.0000 0.5000 0.7330
4 Co 0.5000 0.0000 0.7330
5 B 0.0000 0.0000 0.6316
6 B 0.5000 0.5000 0.8351
7 As 0.0000 0.0000 0.3747
8 As 0.5000 0.5000 0.0932


The following is a DFT calculation (PBE) of crystalline NbCl5 at its relaxed geometry.

Results
SG   Pmmn
Electronic total energy   -4.431 eV/atom

a b c (Å): 7.3138 8.0544 6.4595
angles (deg): 90.00 90.00 90.00
Element x y z (fractional)
1 Nb 0.2500 0.2500 0.1754
2 Nb 0.7500 0.7500 0.8246
3 Cl 0.0180 0.7500 0.6441
4 Cl 0.2500 0.2500 0.8216
5 Cl 0.2500 0.5408 0.1709
6 Cl 0.2500 0.9592 0.1709
7 Cl 0.4820 0.7500 0.6441
8 Cl 0.5180 0.2500 0.3559
9 Cl 0.7500 0.0408 0.8291
10 Cl 0.7500 0.4592 0.8291
11 Cl 0.7500 0.7500 0.1784
12 Cl 0.9820 0.2500 0.3559


The following is a DFT calculation (PBE) of crystalline Ho3FeCo6Ni2 at its relaxed geometry.

Results
SG   R-3m
Energy of formation from the pure elements   -0.226 eV/atom
Electronic total energy   -6.544 eV/atom

a b c (Å): 8.5348 8.5348 8.5348
angles (deg): 33.75 33.75 33.75
Element x y z (fractional)
1 Ho 0.0000 0.0000 0.0000
2 Ho 0.1390 0.1390 0.1390
3 Ho 0.8610 0.8610 0.8610
4 Fe 0.5000 0.5000 0.5000
5 Co 0.0803 0.5832 0.5832
6 Co 0.4168 0.4168 0.9197
7 Co 0.4168 0.9197 0.4168
8 Co 0.5832 0.0803 0.5832
9 Co 0.5832 0.5832 0.0803
10 Co 0.9197 0.4168 0.4168
11 Ni 0.3336 0.3336 0.3336
12 Ni 0.6664 0.6664 0.6664


The following is a DFT calculation (PBE) of crystalline TlCoAgSe3 at its relaxed geometry.

Results
SG   Cmcm
Electronic total energy   -3.898 eV/atom

a b c (Å): 7.5628 7.5628 10.3078
angles (deg): 90.00 90.00 152.79
Element x y z (fractional)
1 Tl 0.2152 0.7848 0.7500
2 Tl 0.7848 0.2152 0.2500
3 Co 0.5000 0.5000 0.0000
4 Co 0.5000 0.5000 0.5000
5 Ag 0.1199 0.8801 0.2500
6 Ag 0.8801 0.1199 0.7500
7 Se 0.1081 0.8919 0.0028
8 Se 0.1081 0.8919 0.4972
9 Se 0.4692 0.5308 0.2500
10 Se 0.5308 0.4692 0.7500
11 Se 0.8919 0.1081 0.5028
12 Se 0.8919 0.1081 0.9972


The following is a DFT calculation (PBE) of crystalline HoAlB14 at its relaxed geometry.

Results
SG   Imma
Electronic total energy   -6.527 eV/atom

a b c (Å): 7.2694 7.2694 7.2694
angles (deg): 132.18 88.13 111.17
Element x y z (fractional)
1 Ho 0.3999 0.1499 0.2500
2 Ho 0.6001 0.8501 0.7500
3 Al 0.0000 0.0000 0.5000
4 Al 0.0000 0.5000 0.0000
5 B 0.0169 0.8739 0.1430
6 B 0.0317 0.2040 0.3320
7 B 0.0317 0.6997 0.8277
8 B 0.0771 0.6669 0.4102
9 B 0.2014 0.5341 0.6673
10 B 0.2234 0.4994 0.3981
11 B 0.2234 0.8253 0.7240
12 B 0.2308 0.8739 0.3570
13 B 0.2432 0.3331 0.9102
14 B 0.3668 0.5341 0.8327
15 B 0.3720 0.2040 0.6723
16 B 0.3720 0.6997 0.1680
17 B 0.3987 0.1747 0.8981
18 B 0.3987 0.5006 0.2240
19 B 0.6013 0.4994 0.7760
20 B 0.6013 0.8253 0.1019
21 B 0.6280 0.3003 0.8320
22 B 0.6280 0.7960 0.3277
23 B 0.6332 0.4659 0.1673
24 B 0.7568 0.6669 0.0898
25 B 0.7692 0.1261 0.6430
26 B 0.7766 0.1747 0.2760
27 B 0.7766 0.5006 0.6019
28 B 0.7986 0.4659 0.3327
29 B 0.9229 0.3331 0.5898
30 B 0.9683 0.3003 0.1723
31 B 0.9683 0.7960 0.6680
32 B 0.9831 0.1261 0.8570


The following is a DFT calculation (PBE) of crystalline Cs3SmP2S8 at its relaxed geometry.

Results
SG   P2_1/c
Electronic total energy   -4.745 eV/atom

a b c (Å): 15.5344 6.9762 20.1033
angles (deg): 90.00 129.98 90.00
Element x y z (fractional)
1 Cs 0.0613 0.2465 0.1091
2 Cs 0.0613 0.2535 0.6091
3 Cs 0.1558 0.2411 0.3785
4 Cs 0.1558 0.2589 0.8785
5 Cs 0.4174 0.7446 0.5246
6 Cs 0.4174 0.7554 0.0246
7 Cs 0.5826 0.2446 0.9754
8 Cs 0.5826 0.2554 0.4754
9 Cs 0.8442 0.7411 0.1215
10 Cs 0.8442 0.7589 0.6215
11 Cs 0.9387 0.7465 0.3909
12 Cs 0.9387 0.7535 0.8909
13 Sm 0.3521 0.7318 0.7290
14 Sm 0.3521 0.7682 0.2290
15 Sm 0.6479 0.2318 0.7710
16 Sm 0.6479 0.2682 0.2710
17 P 0.1923 0.7445 0.2751
18 P 0.1923 0.7555 0.7751
19 P 0.3474 0.2259 0.1298
20 P 0.3474 0.2741 0.6298
21 P 0.6526 0.7259 0.3702
22 P 0.6526 0.7741 0.8702
23 P 0.8077 0.2445 0.2249
24 P 0.8077 0.2555 0.7249
25 S 0.0922 0.7485 0.1418
26 S 0.0922 0.7515 0.6418
27 S 0.1148 0.7382 0.3259
28 S 0.1148 0.7618 0.8259
29 S 0.2412 0.5069 0.5719
30 S 0.2412 0.9931 0.0719
31 S 0.2531 0.0308 0.5961
32 S 0.2531 0.4692 0.0961
33 S 0.2915 0.5123 0.8145
34 S 0.2915 0.9877 0.3145
35 S 0.2964 0.5112 0.3127
36 S 0.2964 0.9888 0.8127
37 S 0.4435 0.2490 0.5930
38 S 0.4435 0.2510 0.0930
39 S 0.4583 0.1613 0.2607
40 S 0.4583 0.3387 0.7607
41 S 0.5417 0.6613 0.2393
42 S 0.5417 0.8387 0.7393
43 S 0.5565 0.7490 0.9070
44 S 0.5565 0.7510 0.4070
45 S 0.7036 0.0112 0.1873
46 S 0.7036 0.4888 0.6873
47 S 0.7084 0.0123 0.6855
48 S 0.7084 0.4877 0.1855
49 S 0.7469 0.5308 0.9039
50 S 0.7469 0.9692 0.4039
51 S 0.7588 0.0069 0.9281
52 S 0.7588 0.4931 0.4281
53 S 0.8852 0.2382 0.1741
54 S 0.8852 0.2618 0.6741
55 S 0.9078 0.2485 0.3582
56 S 0.9078 0.2515 0.8582


The following is a DFT calculation (PBE) of crystalline AcReSi at its relaxed geometry.

Results
SG   F-43m
ΔE to the lowest computed polymorph   0 kJ/mol of formula units
Electronic total energy   -6.813 eV/atom

a b c (Å): 4.6398 4.6398 4.6398
angles (deg): 60.00 60.00 60.00
Element x y z (fractional)
1 Ac 0.0000 0.0000 0.0000
2 Re 0.7500 0.7500 0.7500
3 Si 0.5000 0.5000 0.5000


The following is a DFT calculation (PBE) of crystalline TaGaBi at its relaxed geometry.

Results
SG   F-43m
ΔE to the lowest computed polymorph   110 kJ/mol of formula units
Electronic total energy   -5.212 eV/atom

a b c (Å): 4.8086 4.8086 4.8086
angles (deg): 60.00 60.00 60.00
Element x y z (fractional)
1 Ta 0.0000 0.0000 0.0000
2 Ga 0.5000 0.5000 0.5000
3 Bi 0.7500 0.7500 0.7500


The following is a DFT calculation (PBE) of crystalline NpAgTe at its relaxed geometry.

Results
SG   F-43m
ΔE to the lowest computed polymorph   0 kJ/mol of formula units
Electronic total energy   -6.116 eV/atom

a b c (Å): 4.8818 4.8818 4.8818
angles (deg): 60.00 60.00 60.00
Element x y z (fractional)
1 Np 0.0000 0.0000 0.0000
2 Ag 0.2500 0.2500 0.2500
3 Te 0.5000 0.5000 0.5000


The following is a DFT calculation (PBE) of crystalline PrSmSi2Au2 at its relaxed geometry.

Results
SG   P-3m1
Electronic total energy   -5.296 eV/atom

a b c (Å): 4.3367 4.3367 8.2510
angles (deg): 90.00 90.00 120.00
Element x y z (fractional)
1 Pr 0.0000 0.0000 0.0000
2 Sm 0.0000 0.0000 0.5000
3 Si 0.3333 0.6667 0.7460
4 Si 0.6667 0.3333 0.2540
5 Au 0.3333 0.6667 0.2570
6 Au 0.6667 0.3333 0.7430


The following is a DFT calculation (PBE) of crystalline PaInAsO at its relaxed geometry.

Results
SG   P4/nmm
ΔE to the lowest computed polymorph   353 kJ/mol of formula units
Electronic total energy   -5.545 eV/atom

a b c (Å): 4.6828 4.6828 7.1398
angles (deg): 90.00 90.00 90.00
Element x y z (fractional)
1 Pa 0.2500 0.7500 0.0000
2 Pa 0.7500 0.2500 0.0000
3 In 0.2500 0.2500 0.3885
4 In 0.7500 0.7500 0.6115
5 As 0.2500 0.2500 0.7790
6 As 0.7500 0.7500 0.2210
7 O 0.2500 0.7500 0.5000
8 O 0.7500 0.2500 0.5000


The following is a DFT calculation (PBE) of crystalline SiAu4 at its relaxed geometry.

Results
SG   I-42m
Electronic total energy   -3.733 eV/atom

a b c (Å): 4.9446 4.9446 4.9446
angles (deg): 108.53 108.53 111.36
Element x y z (fractional)
1 Si 0.0000 0.0000 0.0000
2 Au 0.1327 0.1327 0.5899
3 Au 0.4571 0.8673 0.0000
4 Au 0.5429 0.5429 0.4101
5 Au 0.8673 0.4571 0.0000


The following is a DFT calculation (PBE) of crystalline CdCoGeSe3 at its relaxed geometry.

Results
SG   Cmcm
ΔE to the lowest computed polymorph   21 kJ/mol of formula units
Electronic total energy   -3.941 eV/atom

a b c (Å): 9.3561 9.3561 9.1165
angles (deg): 90.00 90.00 158.62
Element x y z (fractional)
1 Cd 0.0175 0.9825 0.7500
2 Cd 0.9825 0.0175 0.2500
3 Co 0.5000 0.5000 0.0000
4 Co 0.5000 0.5000 0.5000
5 Ge 0.3061 0.6939 0.7500
6 Ge 0.6939 0.3061 0.2500
7 Se 0.0871 0.9129 0.0199
8 Se 0.0871 0.9129 0.4801
9 Se 0.2856 0.7144 0.2500
10 Se 0.7144 0.2856 0.7500
11 Se 0.9129 0.0871 0.5199
12 Se 0.9129 0.0871 0.9801


The following is a DFT calculation (PBE) of crystalline Li2Hf2Sn2IrPt at its relaxed geometry.

Results
SG   P-4m2
Electronic total energy   -6.472 eV/atom

a b c (Å): 4.5996 4.5996 6.4872
angles (deg): 90.00 90.00 90.00
Element x y z (fractional)
1 Li 0.0000 0.0000 0.0000
2 Li 0.5000 0.5000 0.5000
3 Hf 0.0000 0.5000 0.7464
4 Hf 0.5000 0.0000 0.2536
5 Sn 0.0000 0.5000 0.2492
6 Sn 0.5000 0.0000 0.7508
7 Ir 0.0000 0.0000 0.5000
8 Pt 0.5000 0.5000 0.0000


The following is a DFT calculation (PBE) of crystalline LaTbGa2Br2 at its relaxed geometry.

Results
SG   P3m1
Electronic total energy   -4.430 eV/atom

a b c (Å): 4.2313 4.2313 11.4910
angles (deg): 90.00 90.00 120.00
Element x y z (fractional)
1 La 0.0000 0.0000 0.0000
2 Tb 0.0000 0.0000 0.3662
3 Ga 0.3333 0.6667 0.2181
4 Ga 0.6667 0.3333 0.1602
5 Br 0.3333 0.6667 0.8355
6 Br 0.6667 0.3333 0.5155


The following is a DFT calculation (PBE) of crystalline BaLiMoIr at its relaxed geometry.

Results
SG   F-43m
ΔE to the lowest computed polymorph   53 kJ/mol of formula units
Electronic total energy   -5.094 eV/atom

a b c (Å): 4.9324 4.9324 4.9324
angles (deg): 60.00 60.00 60.00
Element x y z (fractional)
1 Ba 0.0000 0.0000 0.0000
2 Li 0.7500 0.7500 0.7500
3 Mo 0.5000 0.5000 0.5000
4 Ir 0.2500 0.2500 0.2500